The following is a PBE calculation of a relaxed structure of MoPd12Au3, from Alexandria.

The calculation puts the formation enthalpy at 0 K at -64 meV/atom. The electronic total energy comes out at -84.01 eV/cell. For the density of states at the Fermi level, the calculation gives 19.599 states/eV/cell.

The space group is P4/mmm (No. 123) and the conventional cell measures 3.9822, 3.9822 and 15.9697 Å, with angles of 90.00, 90.00 and 90.00 degrees. Symmetry generates all atoms from Mo at (0.0000, 0.0000, 0.0000), Pd at (0.0000, 0.5000, 0.1175), Pd at (0.0000, 0.5000, 0.3740), Pd at (0.5000, 0.5000, 0.0000), Pd at (0.5000, 0.5000, 0.2464), Pd at (0.5000, 0.5000, 0.5000), Au at (0.0000, 0.0000, 0.2477) and Au at (0.0000, 0.0000, 0.5000).